Entry from the Alexandria database: a geometry-optimized Be2InAs structure (PBE).

Cell and atoms, written as extended XYZ:
```
4
Lattice="2.003 -2.268 0.000 2.003 2.268 0.000 0.000 0.000 7.710" Properties=species:S:1:pos:R:3 pbc="T T T"
Be 0.000 0.000 0.000
Be 2.003 0.000 0.999
In 2.003 0.000 5.792
As 0.000 0.000 2.305
```

Results
The density is 4.92 g/cm3. Its volume is 17.52 Å³ per atom. As for the formation energy: 0.36 eV per atom.



Entry from the Alexandria database: a geometry-optimized PdWSe2N structure (PBE).

Cell and atoms, written as extended XYZ:
```
5
Lattice="5.090 0.000 0.000 0.000 5.090 0.000 0.000 0.000 3.648" Properties=species:S:1:pos:R:3 pbc="T T T"
Pd 0.000 0.000 0.000
W 2.545 2.545 1.824
Se 0.000 2.545 0.000
Se 2.545 0.000 0.000
N 0.000 0.000 1.824
```

Results
The density is 8.12 g/cm3. The uncorrected formation energy is 1.335 eV/atom. Its volume is 18.90 Å³ per atom.



Entry from the Alexandria database: a geometry-optimized TmZn2Ag3 structure (PBE).

Cell and atoms, written as extended XYZ:
```
12
Lattice="4.616 0.000 0.000 -2.308 3.998 0.000 0.000 0.000 12.116" Properties=species:S:1:pos:R:3 pbc="T T T"
Tm 0.000 0.000 3.029
Tm 0.000 0.000 9.087
Zn 0.000 2.665 1.434
Zn 0.000 2.665 4.624
Zn 2.308 1.333 7.492
Zn 2.308 1.333 10.682
Ag 0.000 0.000 0.000
Ag 0.000 0.000 6.058
Ag 0.000 2.665 7.437
Ag 0.000 2.665 10.737
Ag 2.308 1.333 1.379
Ag 2.308 1.333 4.679
```

Results
The density is 9.26 g/cm3. Its volume is 18.63 Å³ per atom. As for the formation energy: -0.19 eV per atom.



Entry from the Alexandria database: a geometry-optimized La6CoGe2 structure (PBE).

Cell and atoms, written as extended XYZ:
```
18
Lattice="6.361 0.000 0.000 0.000 8.368 0.000 -6.015 0.000 10.177" Properties=species:S:1:pos:R:3 pbc="T T T"
La -2.147 1.402 4.548
La -5.154 2.782 9.636
La -0.772 5.611 4.573
La -3.780 6.941 9.662
La 0.784 0.219 2.598
La -2.223 3.965 7.686
La 2.569 4.403 2.490
La -0.438 8.149 7.579
La 4.126 1.427 0.515
La 1.118 2.757 5.603
La 5.500 5.586 0.540
La 2.493 6.967 5.629
Co 0.173 0.000 5.088
Co 3.180 4.184 0.000
Ge -3.426 0.998 7.655
Ge -0.419 3.186 2.567
Ge 0.765 5.182 7.610
Ge 3.772 7.371 2.521
```

Results
The density is 6.36 g/cm3. Its volume is 30.09 Å³ per atom. As for the formation energy: -0.44 eV per atom.



Entry from the Alexandria database: a geometry-optimized Y2ScH structure (PBE).

Cell and atoms, written as extended XYZ:
```
8
Lattice="-3.517 3.517 3.728 3.517 -3.517 3.728 3.517 3.517 -3.728" Properties=species:S:1:pos:R:3 pbc="T T T"
Y 5.276 0.894 -0.932
Y 0.894 1.759 0.932
Y -1.759 2.623 2.796
Y 2.623 1.759 4.660
Sc 3.517 0.000 1.864
Sc 0.000 0.000 3.728
H 0.000 0.000 0.000
H 0.000 3.517 1.864
```

Results
The density is 4.03 g/cm3. The energy comes out at -46.13 eV for the cell shown. Its volume is 23.06 Å³ per atom.



Entry from the Alexandria database: a geometry-optimized PrTmZnNi structure (PBE).

Cell and atoms, written as extended XYZ:
```
4
Lattice="0.000 3.528 3.528 3.528 0.000 3.528 3.528 3.528 0.000" Properties=species:S:1:pos:R:3 pbc="T T T"
Pr 0.000 0.000 0.000
Tm 3.528 3.528 3.528
Zn 5.291 5.291 5.291
Ni 1.764 1.764 1.764
```

Results
The density is 8.21 g/cm3. Its volume is 21.95 Å³ per atom. As for the formation energy: -0.28 eV per atom.



Entry from the Alexandria database: a geometry-optimized BaLaCu2As2 structure (PBE).

Cell and atoms, written as extended XYZ:
```
6
Lattice="4.261 0.000 0.000 -2.130 3.690 0.000 0.000 0.000 9.008" Properties=species:S:1:pos:R:3 pbc="T T T"
Ba 0.000 0.000 0.000
La 0.000 0.000 4.504
Cu 0.000 2.460 6.518
Cu 2.130 1.230 2.490
As 0.000 2.460 2.423
As 2.130 1.230 6.585
```

Results
The density is 6.49 g/cm3. Its volume is 23.60 Å³ per atom. As for the formation energy: -0.85 eV per atom.



Entry from the Alexandria database: a geometry-optimized TlCdIn2Pt structure (PBE).

Cell and atoms, written as extended XYZ:
```
5
Lattice="5.184 0.000 0.000 0.000 5.184 0.000 0.000 0.000 5.316" Properties=species:S:1:pos:R:3 pbc="T T T"
Tl 0.000 0.000 0.000
Cd 2.592 2.592 0.000
In 0.000 2.592 2.658
In 2.592 0.000 2.658
Pt 2.592 2.592 2.658
```

Results
The density is 8.62 g/cm3. Its volume is 28.57 Å³ per atom. As for the formation energy: -0.16 eV per atom.



Entry from the Alexandria database: a geometry-optimized SrCe5In6 structure (PBE).

Cell and atoms, written as extended XYZ:
```
12
Lattice="-2.450 4.705 7.368 2.450 -4.705 7.368 2.450 4.705 -7.368" Properties=species:S:1:pos:R:3 pbc="T T T"
Sr 0.000 0.000 0.000
Ce 2.450 0.000 2.604
Ce 0.000 0.000 4.933
Ce 0.000 4.705 0.000
Ce 0.000 0.000 9.802
Ce 0.000 4.705 4.764
In 2.450 -2.358 4.905
In 2.450 2.363 0.000
In 0.000 2.346 2.463
In 2.450 2.358 4.905
In 0.000 2.341 7.368
In 0.000 7.063 2.463
```

Results
The density is 7.22 g/cm3. Its volume is 28.31 Å³ per atom. As for the formation energy: -0.34 eV per atom.



Entry from the Alexandria database: a geometry-optimized PrAgAs structure (PBE).

Cell and atoms, written as extended XYZ:
```
6
Lattice="4.456 0.000 0.000 -2.228 3.859 0.000 0.000 0.000 8.198" Properties=species:S:1:pos:R:3 pbc="T T T"
Pr 0.000 0.000 0.000
Pr 0.000 0.000 4.099
Ag 0.000 2.573 2.050
Ag 2.228 1.286 6.149
As 0.000 2.573 6.149
As 2.228 1.286 2.050
```

Results
The density is 7.62 g/cm3. Its volume is 23.50 Å³ per atom. As for the formation energy: -0.74 eV per atom.



Entry from the Alexandria database: a geometry-optimized AlCuPt structure (PBE).

Cell and atoms, written as extended XYZ:
```
6
Lattice="4.599 0.000 0.000 -2.253 4.059 0.000 -0.869 -1.306 4.498" Properties=species:S:1:pos:R:3 pbc="T T T"
Al -0.613 1.288 1.130
Al 2.090 1.464 3.368
Cu 1.665 -0.056 1.128
Cu -0.189 2.809 3.370
Pt -0.230 0.112 3.379
Pt 1.707 2.640 1.119
```

Results
The density is 11.30 g/cm3. Its volume is 13.99 Å³ per atom. As for the formation energy: -0.63 eV per atom.



Entry from the Alexandria database: a geometry-optimized Er4Tm8Pu structure (PBE).

Cell and atoms, written as extended XYZ:
```
13
Lattice="5.389 3.111 4.388 -5.389 3.111 4.388 0.000 -6.222 4.388" Properties=species:S:1:pos:R:3 pbc="T T T"
Er 0.000 0.000 0.000
Er -2.694 -1.556 4.388
Er -2.694 1.556 8.777
Er 0.000 3.111 4.388
Tm 0.000 0.000 3.226
Tm 0.000 -3.169 5.457
Tm -2.745 1.585 5.457
Tm -2.745 -1.585 7.707
Tm 2.745 1.585 5.457
Tm 2.745 -1.585 7.707
Tm 0.000 3.169 7.707
Tm 0.000 0.000 9.939
Pu 0.000 0.000 6.582
```

Results
The density is 8.52 g/cm3. Its volume is 33.96 Å³ per atom. As for the formation energy: 0.52 eV per atom.



Entry from the Alexandria database: a geometry-optimized Pm6AlO12 structure (PBE).

Cell and atoms, written as extended XYZ:
```
19
Lattice="5.056 2.919 3.173 -5.056 2.919 3.173 0.000 -5.838 3.173" Properties=species:S:1:pos:R:3 pbc="T T T"
Pm -3.455 -1.098 4.876
Pm -0.776 -3.541 4.643
Pm -2.679 2.443 4.643
Pm 2.679 -2.443 4.876
Pm 0.776 3.541 4.876
Pm 3.455 1.098 4.643
Al 0.000 0.000 4.760
O -4.319 0.935 4.090
O -2.970 -3.273 5.430
O -1.146 -1.278 3.777
O 1.350 -4.208 4.090
O -0.534 1.632 3.777
O -1.680 0.353 5.743
O 1.680 -0.353 3.777
O 0.534 -1.632 5.743
O -1.350 4.208 5.430
O 1.146 1.278 5.743
O 2.970 3.273 4.090
O 4.319 -0.935 5.430
```

Results
The density is 6.44 g/cm3. The uncorrected formation energy is -2.958 eV/atom. Its volume is 14.79 Å³ per atom.



Entry from the Alexandria database: a geometry-optimized LiCd4Ga structure (PBE).

Cell and atoms, written as extended XYZ:
```
6
Lattice="0.000 4.111 4.111 4.111 0.000 4.111 4.111 4.111 0.000" Properties=species:S:1:pos:R:3 pbc="T T T"
Li 0.000 0.000 0.000
Cd 5.141 3.081 3.081
Cd 3.081 5.141 3.081
Cd 3.081 3.081 5.141
Cd 5.141 5.141 5.141
Ga 2.055 2.055 2.055
```

Results
The density is 6.29 g/cm3. Its volume is 23.16 Å³ per atom. As for the formation energy: 0.03 eV per atom.



Entry from the Alexandria database: a geometry-optimized ScHgB structure (PBE).

Cell and atoms, written as extended XYZ:
```
6
Lattice="2.795 -1.614 0.000 2.795 1.614 0.000 -0.015 0.000 10.863" Properties=species:S:1:pos:R:3 pbc="T T T"
Sc -0.001 0.000 1.690
Sc 5.575 0.000 9.173
Hg 1.849 0.000 6.740
Hg 3.725 0.000 4.123
B 1.862 0.000 0.016
B 3.712 0.000 10.847
```

Results
The density is 8.69 g/cm3. Its volume is 16.33 Å³ per atom. As for the formation energy: -0.51 eV per atom.



Entry from the Alexandria database: a geometry-optimized Li5Mg structure (PBE).

Cell and atoms, written as extended XYZ:
```
6
Lattice="4.962 0.000 0.000 0.000 1.538 7.996 0.000 -1.538 7.996" Properties=species:S:1:pos:R:3 pbc="T T T"
Li 0.000 0.000 0.000
Li 0.000 0.000 5.307
Li 0.000 0.000 10.661
Li 2.481 0.000 3.540
Li 2.481 0.000 8.890
Mg 2.481 0.000 14.189
```

Results
The density is 0.80 g/cm3. Its volume is 20.34 Å³ per atom. As for the formation energy: -0.01 eV per atom.



Entry from the Alexandria database: a geometry-optimized RbBSN2 structure (PBE).

Cell and atoms, written as extended XYZ:
```
5
Lattice="4.103 0.000 0.000 0.000 4.103 0.000 0.000 0.000 4.221" Properties=species:S:1:pos:R:3 pbc="T T T"
Rb 0.000 0.000 0.000
B 2.051 2.051 2.110
S 2.051 2.051 0.000
N 0.000 2.051 2.110
N 2.051 0.000 2.110
```

Results
The density is 3.65 g/cm3. The uncorrected formation energy is 1.632 eV/atom. Its volume is 14.21 Å³ per atom.



Entry from the Alexandria database: a geometry-optimized Ba2CdNiN structure (PBE).

Cell and atoms, written as extended XYZ:
```
5
Lattice="5.971 0.000 0.000 0.000 5.971 0.000 0.000 0.000 3.623" Properties=species:S:1:pos:R:3 pbc="T T T"
Ba 0.000 2.985 0.000
Ba 2.985 0.000 0.000
Cd 0.000 0.000 1.811
Ni 2.985 2.985 1.811
N 2.985 2.985 0.000
```

Results
The density is 5.91 g/cm3. The uncorrected formation energy is -0.303 eV/atom. Its volume is 25.83 Å³ per atom.



Entry from the Alexandria database: a geometry-optimized CaNd5Ga6 structure (PBE).

Cell and atoms, written as extended XYZ:
```
12
Lattice="-2.599 3.700 7.859 2.599 -3.700 7.859 2.599 3.700 -7.859" Properties=species:S:1:pos:R:3 pbc="T T T"
Ca 0.000 0.000 0.000
Nd 2.599 0.000 2.501
Nd 0.000 0.000 5.172
Nd 0.000 3.700 0.000
Nd 0.000 0.000 10.545
Nd 0.000 3.700 5.357
Ga 2.599 -1.829 5.250
Ga 2.599 1.895 0.000
Ga 0.000 1.871 2.609
Ga 2.599 1.829 5.250
Ga 0.000 1.805 7.859
Ga 0.000 5.528 2.609
```

Results
The density is 6.48 g/cm3. Its volume is 25.19 Å³ per atom. As for the formation energy: -0.54 eV per atom.



Entry from the Alexandria database: a geometry-optimized U4Se3S4 structure (PBE).

Cell and atoms, written as extended XYZ:
```
11
Lattice="-1.939 4.017 7.774 1.939 -4.017 7.774 1.939 4.017 -7.774" Properties=species:S:1:pos:R:3 pbc="T T T"
U 0.000 0.000 3.848
U 1.939 2.215 0.000
U 0.000 1.802 7.774
U 0.000 0.000 11.699
Se 0.000 0.000 0.000
Se 1.939 0.000 6.229
Se 0.000 4.017 1.545
S 1.939 1.558 -2.651
S 1.939 1.558 2.651
S 0.000 2.459 5.123
S 0.000 2.459 10.424
```

Results
The density is 9.03 g/cm3. The uncorrected formation energy is -1.300 eV/atom. Its volume is 22.02 Å³ per atom.



Entry from the Alexandria database: a geometry-optimized CeThTi structure (PBE).

Cell and atoms, written as extended XYZ:
```
3
Lattice="5.152 0.000 0.000 -2.576 4.462 0.000 0.000 0.000 3.334" Properties=species:S:1:pos:R:3 pbc="T T T"
Ce 0.000 0.000 0.000
Th 2.576 1.487 1.585
Ti 0.000 2.975 3.171
```

Results
The density is 9.10 g/cm3. Its volume is 25.55 Å³ per atom. As for the formation energy: 0.23 eV per atom.



Entry from the Alexandria database: a geometry-optimized PaVCl2 structure (PBE).

Cell and atoms, written as extended XYZ:
```
4
Lattice="1.564 0.903 9.064 -1.564 0.903 9.064 0.000 -1.806 9.064" Properties=species:S:1:pos:R:3 pbc="T T T"
Pa 0.000 0.000 0.000
V 0.000 0.000 13.597
Cl 0.000 0.000 2.909
Cl 0.000 0.000 24.284
```

Results
The density is 7.63 g/cm3. The uncorrected formation energy is -0.412 eV/atom. Its volume is 19.19 Å³ per atom.



Entry from the Alexandria database: a geometry-optimized TlZnGa structure (PBE).

Cell and atoms, written as extended XYZ:
```
6
Lattice="6.233 0.000 0.000 0.000 3.376 0.000 -0.280 0.000 6.342" Properties=species:S:1:pos:R:3 pbc="T T T"
Tl 1.315 0.000 2.705
Tl 4.638 1.688 3.637
Zn 2.740 0.004 5.307
Zn 3.213 1.692 1.034
Ga 0.663 1.697 5.801
Ga 5.290 0.009 0.541
```

Results
The density is 8.45 g/cm3. Its volume is 22.24 Å³ per atom. As for the formation energy: 0.09 eV per atom.



Entry from the Alexandria database: a geometry-optimized YMn2HPt structure (PBE).

Cell and atoms, written as extended XYZ:
```
5
Lattice="3.974 0.000 0.000 0.000 3.974 0.000 0.000 0.000 4.520" Properties=species:S:1:pos:R:3 pbc="T T T"
Y 0.000 0.000 0.000
Mn 0.000 1.987 2.260
Mn 1.987 0.000 2.260
H 0.000 0.000 2.260
Pt 1.987 1.987 0.000
```

Results
The density is 9.18 g/cm3. The energy comes out at -35.36 eV for the cell shown. Its volume is 14.28 Å³ per atom.



Entry from the Alexandria database: a geometry-optimized DyZnGa3Au structure (PBE).

Cell and atoms, written as extended XYZ:
```
12
Lattice="2.791 -8.362 0.000 2.791 8.362 0.000 0.000 0.000 5.741" Properties=species:S:1:pos:R:3 pbc="T T T"
Dy 2.791 5.484 4.305
Dy 2.791 -5.484 1.435
Zn 2.791 1.644 1.435
Zn 2.791 -1.644 4.305
Ga 1.378 0.000 0.000
Ga 1.378 0.000 2.870
Ga 2.791 4.098 1.435
Ga 2.791 -4.098 4.305
Ga 4.203 0.000 0.000
Ga 4.203 0.000 2.870
Au 2.791 6.582 1.435
Au 2.791 -6.582 4.305
```

Results
The density is 7.86 g/cm3. Its volume is 22.33 Å³ per atom. As for the formation energy: -0.19 eV per atom.